No. 1
Density functional theory data (PBE) for an optimized crystal structure of Mn2PW.

The calculation puts the volume at 48.6 Å³/f.u. The calculated total energy comes out at -9.28 eV per atom.

The space group is Immm (No. 71) and the conventional cell measures 2.8030, 4.2129 and 8.2361 Å, with angles of 90.00, 90.00 and 90.00 degrees. The inequivalent atoms are Mn at (0.0000, 0.0000, 0.2201), P at (0.0000, 0.5000, 0.5000) and W at (0.0000, 0.5000, 0.0000).

---

No. 2
Density functional theory data (PBE) for an optimized crystal structure of MnPW.

The calculation puts the volume at 40.7 Å³/f.u. The calculated total energy comes out at -9.06 eV per atom.

The space group is Fmm2 (No. 42) and the conventional cell measures 3.2483, 4.5245 and 11.0797 Å, with angles of 90.00, 90.00 and 90.00 degrees. The inequivalent atoms are Mn at (0.0000, 0.0000, 0.0000), P at (0.0000, 0.0000, 0.3565) and W at (0.0000, 0.0000, 0.6875).

---

No. 3
Density functional theory data (PBE) for an optimized crystal structure of Mn2PW.

The calculation puts the volume at 49.1 Å³/f.u. The calculated total energy comes out at -9.21 eV per atom.

The space group is P4mm (No. 99) and the conventional cell measures 2.8175, 2.8175 and 6.1899 Å, with angles of 90.00, 90.00 and 90.00 degrees. The inequivalent atoms are Mn at (0.0000, 0.0000, 0.0000), Mn at (0.5000, 0.5000, 0.2507), P at (0.0000, 0.0000, 0.4392) and W at (0.5000, 0.5000, 0.7167).

---

No. 4
Density functional theory data (PBE) for an optimized crystal structure of Mn2PW.

The calculation puts the volume at 49.7 Å³/f.u. The calculated total energy comes out at -9.26 eV per atom.

The space group is Cm (No. 8) and the conventional cell measures 8.9714, 2.9076 and 4.2785 Å, with angles of 90.00, 116.94 and 90.00 degrees. The inequivalent atoms are Mn at (0.0000, 0.0000, 0.0000), Mn at (0.2320, 0.0000, 0.7260), P at (0.2150, 0.5000, 0.1139) and W at (0.4551, 0.0000, 0.4573).

---

No. 5
Density functional theory data (PBE) for an optimized crystal structure of MnPW.

The calculation puts the volume at 42.1 Å³/f.u. The calculated total energy comes out at -9.43 eV per atom.

The space group is F-43m (No. 216) and the conventional cell measures 5.5232, 5.5232 and 5.5232 Å, with angles of 90.00, 90.00 and 90.00 degrees. The inequivalent atoms are Mn at (0.0000, 0.0000, 0.0000), P at (0.2500, 0.2500, 0.2500) and W at (0.2500, 0.2500, 0.7500).

---

No. 6
Density functional theory data (PBE) for an optimized crystal structure of Mn2PW.

The calculation puts the volume at 50.3 Å³/f.u. The calculated total energy comes out at -9.16 eV per atom.

The space group is I4/mmm (No. 139) and the conventional cell measures 3.6342, 3.6342 and 7.6240 Å, with angles of 90.00, 90.00 and 90.00 degrees. The inequivalent atoms are Mn at (0.0000, 0.5000, 0.2500), P at (0.0000, 0.0000, 0.0000) and W at (0.0000, 0.0000, 0.5000).

---

No. 7
Density functional theory data (PBE) for an optimized crystal structure of Mn2PW.

The calculation puts the volume at 51.7 Å³/f.u. The calculated total energy comes out at -9.24 eV per atom.

The space group is P4/mmm (No. 123) and the conventional cell measures 3.1834, 3.1834 and 5.0975 Å, with angles of 90.00, 90.00 and 90.00 degrees. The inequivalent atoms are Mn at (0.0000, 0.0000, 0.2348), P at (0.5000, 0.5000, 0.0000) and W at (0.5000, 0.5000, 0.5000).

---

No. 8
Density functional theory data (PBE) for an optimized crystal structure of MnPW2.

The calculation puts the volume at 54.5 Å³/f.u. The calculated total energy comes out at -10.11 eV per atom.

The space group is Amm2 (No. 38) and the conventional cell measures 3.9112, 2.9546 and 9.4255 Å, with angles of 90.00, 90.00 and 90.00 degrees. The inequivalent atoms are Mn at (0.0000, 0.0000, 0.0000), P at (0.5000, 0.0000, 0.1326), W at (0.0000, 0.0000, 0.7333) and W at (0.5000, 0.0000, 0.3985).

---

No. 9
Density functional theory data (PBE) for an optimized crystal structure of MnP4W.

The energy relative to the lowest polymorph listed for this composition comes out at 0.0 kJ/mol of atoms. The calculation puts the volume at 98.1 Å³/f.u.

The space group is P2/c (No. 13) and the conventional cell measures 5.6338, 6.3765 and 5.4620 Å, with angles of 90.00, 90.24 and 90.00 degrees. The inequivalent atoms are Mn at (0.0000, 0.1013, 0.2500), P at (0.1457, 0.2191, 0.6105), P at (0.3449, 0.2518, 0.1252) and W at (0.5000, 0.3930, 0.7500).

---

No. 10
Density functional theory data (PBE) for an optimized crystal structure of Mn4PW.

The calculation puts the volume at 72.9 Å³/f.u. The calculated total energy comes out at -8.94 eV per atom.

The space group is F-43m (No. 216) and the conventional cell measures 6.6302, 6.6302 and 6.6302 Å, with angles of 90.00, 90.00 and 90.00 degrees. The inequivalent atoms are Mn at (0.1245, 0.1245, 0.1245), P at (0.2500, 0.2500, 0.7500) and W at (0.0000, 0.0000, 0.5000).

---

No. 11
Density functional theory data (PBE) for an optimized crystal structure of MnPW2.

The calculation puts the volume at 55.2 Å³/f.u. The calculated total energy comes out at -10.11 eV per atom.

The space group is P4mm (No. 99) and the conventional cell measures 3.0733, 3.0733 and 5.8448 Å, with angles of 90.00, 90.00 and 90.00 degrees. The inequivalent atoms are Mn at (0.0000, 0.0000, 0.0000), P at (0.5000, 0.5000, 0.2531), W at (0.0000, 0.0000, 0.4675) and W at (0.5000, 0.5000, 0.7901).

---

No. 12
Density functional theory data (PBE) for an optimized crystal structure of MnPW.

The calculation puts the volume at 39.3 Å³/f.u. The calculated total energy comes out at -9.08 eV per atom.

The space group is Imm2 (No. 44) and the conventional cell measures 2.8458, 3.8159 and 7.2350 Å, with angles of 90.00, 90.00 and 90.00 degrees. The inequivalent atoms are Mn at (0.0000, 0.0000, 0.0000), P at (0.0000, 0.0000, 0.3277) and W at (0.0000, 0.0000, 0.6639).